Co2CuClF | GGA+U | relaxed

Values from the calculation:
The value obtained for the total energy is -3.060 eV/atom.

```
5
Lattice="4.184 0.000 0.000 0.000 4.184 0.000 0.000 0.000 4.542" Properties=species:S:1:pos:R:3 pbc="T T T"
Co 0.000 2.092 0.000
Co 2.092 0.000 0.000
Cu 0.000 0.000 2.271
Cl 0.000 0.000 0.000
F 2.092 2.092 2.271
```